Entry 1:
# PBE CrRhPb2, optimized geometry
# N(E_F) = 2.7 states/eV/f.u.
# energy relative to the lowest polymorph listed for this composition = 360 meV/atom
# DFT formation energy = 0.5510 eV per atom
# VASP energy = -5.547 eV/atom
data_CrRhPb2
_chemical_formula_sum 'Cr4 Rh4 Pb8'
_cell_length_a 4.4033
_cell_length_b 4.4033
_cell_length_c 18.9375
_cell_angle_alpha 90.00
_cell_angle_beta 90.00
_cell_angle_gamma 90.00
_symmetry_space_group_name_H-M 'I -4 2 d'
_symmetry_Int_Tables_number 122
_symmetry_space_group_name_Hall 'I -4 2bw'
loop_
_atom_site_label
_atom_site_type_symbol
_atom_site_fract_x
_atom_site_fract_y
_atom_site_fract_z
_atom_site_occupancy
Cr1 Cr 0.0000 0.0000 0.0000 1
Rh1 Rh 0.0000 0.0000 0.5000 1
Pb1 Pb 0.2429 0.2500 0.6250 1


Entry 2:
# PBE SrCr2RhPb, optimized geometry
# N(E_F) = 3.9 states/eV/f.u.
# DFT formation energy = 1.3594 eV per atom
# VASP energy = -5.038 eV/atom
data_SrCr2RhPb
_chemical_formula_sum 'Sr1 Cr2 Rh1 Pb1'
_cell_length_a 5.1383
_cell_length_b 5.1383
_cell_length_c 6.1475
_cell_angle_alpha 90.00
_cell_angle_beta 90.00
_cell_angle_gamma 90.00
_symmetry_space_group_name_H-M 'P 4/m m m'
_symmetry_Int_Tables_number 123
_symmetry_space_group_name_Hall '-P 4 2'
loop_
_atom_site_label
_atom_site_type_symbol
_atom_site_fract_x
_atom_site_fract_y
_atom_site_fract_z
_atom_site_occupancy
Sr1 Sr 0.0000 0.0000 0.0000 1
Cr1 Cr 0.0000 0.5000 0.5000 1
Rh1 Rh 0.5000 0.5000 0.0000 1
Pb1 Pb 0.0000 0.0000 0.5000 1


Entry 3:
# PBE CrRu4Pb, optimized geometry
# N(E_F) = 9.8 states/eV/f.u.
# DFT formation energy = 0.6150 eV per atom
# VASP energy = -7.791 eV/atom
data_CrRu4Pb
_chemical_formula_sum 'Cr4 Ru16 Pb4'
_cell_length_a 7.3512
_cell_length_b 7.3512
_cell_length_c 7.3512
_cell_angle_alpha 90.00
_cell_angle_beta 90.00
_cell_angle_gamma 90.00
_symmetry_space_group_name_H-M 'F -4 3 m'
_symmetry_Int_Tables_number 216
_symmetry_space_group_name_Hall 'F -4 2 3'
loop_
_atom_site_label
_atom_site_type_symbol
_atom_site_fract_x
_atom_site_fract_y
_atom_site_fract_z
_atom_site_occupancy
Cr1 Cr 0.0000 0.0000 0.0000 1
Ru1 Ru 0.1256 0.1256 0.6256 1
Pb1 Pb 0.2500 0.2500 0.2500 1